ZrAgRh4: relaxed, PBE.

Summary:
E_form, kJ/mol of formula units: -155
DOS(E_F), states/eV per cell: 33.47

a = 7.3266 Å, b = 7.3266 Å, c = 7.3266 Å
α = 90.00°, β = 90.00°, γ = 90.00°
Space group F-43m (No. 216)
One atom of each set of equivalent atoms:
1 Zr 0.0000 0.0000 0.0000 (multiplicity 4)
2 Ag 0.2500 0.2500 0.7500 (multiplicity 4)
3 Rh 0.1248 0.1248 0.3752 (multiplicity 16)